No. 1
Computed, not measured: ZrAsSe2F after structural relaxation at the PBE level of DFT.

Cell lengths 4.883, 4.883, 4.051 Å; angles 90.00, 90.00, 90.00 degrees
Space group P4/mmm (No. 123)
Unique sites:
Zr (0.000, 0.000, 0.000) x1
As (0.500, 0.500, 0.000) x1
Se (0.000, 0.500, 0.500) x2
F (0.500, 0.500, 0.500) x1

---

No. 2
Computed, not measured: ZrAs2SeF after structural relaxation at the PBE level of DFT.

Cell lengths 4.243, 4.243, 5.288 Å; angles 90.00, 90.00, 90.00 degrees
Space group P4/mmm (No. 123)
Unique sites:
Zr (0.000, 0.000, 0.000) x1
As (0.000, 0.500, 0.500) x2
Se (0.500, 0.500, 0.000) x1
F (0.500, 0.500, 0.500) x1

---

No. 3
Computed, not measured: ZrAs2SeF after structural relaxation at the PBE level of DFT.

Cell lengths 5.209, 5.209, 5.086 Å; angles 90.00, 90.00, 90.00 degrees
Space group P4/mmm (No. 123)
Unique sites:
Zr (0.000, 0.000, 0.000) x1
As (0.000, 0.500, 0.000) x2
Se (0.000, 0.000, 0.500) x1
F (0.500, 0.500, 0.500) x1

---

No. 4
Computed, not measured: ZrAsSe2F after structural relaxation at the PBE level of DFT.

Cell lengths 5.113, 5.113, 5.325 Å; angles 90.00, 90.00, 90.00 degrees
Space group P4/mmm (No. 123)
Unique sites:
Zr (0.000, 0.000, 0.000) x1
As (0.000, 0.000, 0.500) x1
Se (0.000, 0.500, 0.000) x2
F (0.500, 0.500, 0.500) x1

---

No. 5
Computed, not measured: Si3AsF after structural relaxation at the PBE level of DFT.

Cell lengths 4.455, 4.455, 4.455 Å; angles 90.00, 90.00, 90.00 degrees
Space group Pm-3m (No. 221)
Unique sites:
Si (0.000, 0.000, 0.500) x3
As (0.500, 0.500, 0.500) x1
F (0.000, 0.000, 0.000) x1

---

No. 6
Computed, not measured: SiAsF2 after structural relaxation at the PBE level of DFT.

Cell lengths 2.7434, 2.7434, 29.3929 Å; angles 90.00, 90.00, 120.00 degrees
Space group R-3m (No. 166, hexagonal axes)
Unique sites:
Si (0.0000, 0.0000, 0.0000) x3
As (0.0000, 0.0000, 0.5000) x3
F (0.0000, 0.0000, 0.0559) x6

---

No. 7
Computed, not measured: SiAsF2 after structural relaxation at the PBE level of DFT.

Cell lengths 2.8624, 2.8624, 24.1110 Å; angles 90.00, 90.00, 120.00 degrees
Space group R-3m (No. 166, hexagonal axes)
Unique sites:
Si (0.0000, 0.0000, 0.0000) x3
As (0.0000, 0.0000, 0.5000) x3
F (0.0000, 0.0000, 0.4161) x6

---

No. 8
Computed, not measured: SiAsF2 after structural relaxation at the PBE level of DFT.

Cell lengths 3.697, 3.697, 15.607 Å; angles 90.00, 90.00, 90.00 degrees
Space group I-42d (No. 122)
Unique sites:
Si (0.000, 0.000, 0.000) x4
As (0.000, 0.000, 0.500) x4
F (0.240, 0.750, 0.125) x8

---

No. 9
Computed, not measured: Si3AsF after structural relaxation at the PBE level of DFT.

Cell lengths 4.887, 4.887, 4.887 Å; angles 90.00, 90.00, 90.00 degrees
Space group Pm-3m (No. 221)
Unique sites:
Si (0.000, 0.000, 0.500) x3
As (0.000, 0.000, 0.000) x1
F (0.500, 0.500, 0.500) x1

---

No. 10
Computed, not measured: SiAsF3 after structural relaxation at the PBE level of DFT.

Cell lengths 4.340, 4.340, 4.340 Å; angles 90.00, 90.00, 90.00 degrees
Space group Pm-3m (No. 221)
Unique sites:
Si (0.000, 0.000, 0.000) x1
As (0.500, 0.500, 0.500) x1
F (0.000, 0.500, 0.500) x3

---

No. 11
Computed, not measured: SiAsF2 after structural relaxation at the PBE level of DFT.

Cell lengths 6.081, 6.081, 6.081 Å; angles 90.00, 90.00, 90.00 degrees
Space group Fm-3m (No. 225)
Unique sites:
Si (0.000, 0.000, 0.000) x4
As (0.000, 0.000, 0.500) x4
F (0.250, 0.250, 0.250) x8

---

No. 12
Computed, not measured: SiAsF3 after structural relaxation at the PBE level of DFT.

Cell lengths 4.215, 4.215, 4.215 Å; angles 90.00, 90.00, 90.00 degrees
Space group Pm-3m (No. 221)
Unique sites:
Si (0.000, 0.000, 0.000) x1
As (0.500, 0.500, 0.500) x1
F (0.000, 0.000, 0.500) x3

---

Computed values of Fermi-level density of states (unit: states/eV per atom) for the preceding records, in sequence: 0.747, 0.499, 0.900, 1.231, 0.580, 0.425, 0.234, 0.191, 0.830, 0.503, 0.995, 1.335.
Computed values of ΔE_f (raw) (unit: eV per atom) for the preceding records, in sequence: -0.168, -0.234, -0.096, -0.254, 0.514, -1.284, -0.910, -0.911, 0.883, -0.690, -0.296, -0.944.